Here is OsPd2O4 after structural relaxation from OQMD. Energies are from PBE-GGA.

Computed properties:
The calculation puts the total DFT energy (no corrections) at -6.20 eV per atom. The space group is Fd-3m.

The structure in CIF format:
```
data_OsPd2O4
_symmetry_space_group_name_H-M 'P 1'
_symmetry_Int_Tables_number 1
_cell_length_a 6.312
_cell_length_b 6.312
_cell_length_c 6.312
_cell_angle_alpha 60.00
_cell_angle_beta 60.00
_cell_angle_gamma 60.00
loop_
_symmetry_equiv_pos_as_xyz
'x,y,z'
loop_
_atom_site_label
_atom_site_type_symbol
_atom_site_fract_x
_atom_site_fract_y
_atom_site_fract_z
_atom_site_occupancy
Os1 Os 0.125 0.125 0.125 1
Os2 Os 0.875 0.875 0.875 1
Pd1 Pd 0.000 0.500 0.500 1
Pd2 Pd 0.500 0.000 0.500 1
Pd3 Pd 0.500 0.500 0.000 1
Pd4 Pd 0.500 0.500 0.500 1
O1 O 0.231 0.756 0.756 1
O2 O 0.244 0.244 0.244 1
O3 O 0.244 0.244 0.769 1
O4 O 0.244 0.769 0.244 1
O5 O 0.756 0.231 0.756 1
O6 O 0.756 0.756 0.231 1
O7 O 0.756 0.756 0.756 1
O8 O 0.769 0.244 0.244 1
```

Here is CsLuPt after structural relaxation from OQMD. Energies are from PBE-GGA.

Computed properties:
The offset from the most stable computed form comes out at 0 meV/atom. The space group is F-43m.

The structure in CIF format:
```
data_CsLuPt
_symmetry_space_group_name_H-M 'P 1'
_symmetry_Int_Tables_number 1
_cell_length_a 5.171
_cell_length_b 5.171
_cell_length_c 5.171
_cell_angle_alpha 60.00
_cell_angle_beta 60.00
_cell_angle_gamma 60.00
loop_
_symmetry_equiv_pos_as_xyz
'x,y,z'
loop_
_atom_site_label
_atom_site_type_symbol
_atom_site_fract_x
_atom_site_fract_y
_atom_site_fract_z
_atom_site_occupancy
Cs1 Cs 0.000 0.000 0.000 1
Lu1 Lu 0.500 0.500 0.500 1
Pt1 Pt 0.250 0.250 0.250 1
```